Record 1
LiTaAu2 after structural relaxation. Source: Alexandria via LeMat-Bulk, functional PBE.

Results
Its calculated volume is 17.13 Å³ per atom. The density of states at the Fermi level comes out at 2.6 states/eV/cell. As for the crystal system: orthorhombic. As for the symmetry: Pmm2. For the energy, the calculation gives -5.34 eV/atom. The calculation puts the density at 14.10 g/cm3.

Cell: 4.913 2.781 5.014 Å, 90.03 90.00 90.00°
Positions (direct):
Li: 0.000 0.626 0.407
Au: 0.000 0.125 0.918
Au: 0.500 0.125 0.339
Ta: 0.500 0.624 0.836

Record 2
LiTa2Au after structural relaxation. Source: Alexandria via LeMat-Bulk, functional PBE.

Results
Its calculated volume is 17.63 Å³ per atom. The density of states at the Fermi level comes out at 3.1 states/eV/cell. As for the crystal system: orthorhombic. As for the symmetry: Cmm2. For the energy, the calculation gives -7.22 eV/atom. The calculation puts the density at 13.32 g/cm3. Its relative energy among the computed polymorphs is 0.0000 eV per atom.

Cell: 2.816 2.816 9.074 Å, 90.00 90.00 101.51°
Positions (direct):
Au: 0.000 0.000 0.505
Li: 0.500 0.500 0.730
Ta: 0.000 0.000 0.009
Ta: 0.500 0.500 0.255

Record 3
LiTa2Au after structural relaxation. Source: Alexandria via LeMat-Bulk, functional PBE.

Results
Its calculated volume is 18.08 Å³ per atom. The density of states at the Fermi level comes out at 3.5 states/eV/cell. As for the crystal system: trigonal. As for the symmetry: R-3m. For the energy, the calculation gives -6.96 eV/atom. The calculation puts the density at 12.99 g/cm3. Its relative energy among the computed polymorphs is 0.2626 eV per atom.

Cell: 10.260 10.260 10.260 Å, 16.09 16.09 16.09°
Positions (direct):
Au: 0.250 0.250 0.250
Li: 0.750 0.750 0.750
Ta: 0.997 0.997 0.997
Ta: 0.503 0.503 0.503